Computed, not measured: a relaxed La7Nd2Tm2 crystal at the PBE-GGA level of DFT.

Properties
Uncorrected energy ... -4.704 eV per atom
DFT formation energy ... 0.11 eV per atom
Space-group type ... No. 12
Spin magnetization ... 0.00 μB/f.u.

Unit cell a=8.2306 b=8.2306 c=6.2189 alpha=105.16 beta=105.16 gamma=89.86
Closest atoms and distances in Å follow each position.
Atoms (fractional coordinates):
La: 0.0000 0.0000 0.0000  4 La 3.37, 2 Nd 3.67
La: 0.0456 0.5834 0.8188  2 La 3.17-3.37, 1 Nd 3.42, 2 Tm 3.44-3.52
La: 0.4166 0.9544 0.1812  2 La 3.17-3.37, 1 Nd 3.42, 2 Tm 3.44-3.52
La: 0.4264 0.4264 0.1997  6 La 3.49-3.86, 2 Nd 3.62-3.77, 2 Tm 3.75
La: 0.5736 0.5736 0.8003  6 La 3.49-3.86, 2 Nd 3.62-3.77, 2 Tm 3.75
La: 0.5834 0.0456 0.8188  2 La 3.17-3.37, 1 Nd 3.42, 2 Tm 3.44-3.52
La: 0.9544 0.4166 0.1812  2 La 3.17-3.37, 1 Nd 3.42, 2 Tm 3.44-3.52
Nd: 0.2257 0.2257 0.5958  7 La 3.42-3.77, 2 Tm 3.51
Nd: 0.7743 0.7743 0.4042  7 La 3.42-3.77, 2 Tm 3.51
Tm: 0.2145 0.7855 0.5000  6 La 3.44-3.75, 2 Nd 3.51
Tm: 0.7855 0.2145 0.5000  6 La 3.44-3.75, 2 Nd 3.51